[1]
Density functional theory data (PBE-GGA) for a geometry-optimized In7Hg3Pb2 structure.

Unit cell a=5.8050 b=3.3932 c=16.8449 alpha=90.00 beta=94.33 gamma=90.00
Last column: nearest neighbours and their distance in Å.
Positions (direct):
1 In 0.0000 0.0000 0.0000  8 In 3.29-3.39, 4 Hg 3.36
2 In 0.1416 0.5000 0.8400  3 Hg 3.21-3.28, 8 In 3.34-3.39, 1 Pb 3.56
3 In 0.2564 0.5000 0.5338  4 In 3.11-3.39, 2 Hg 3.11, 1 Pb 3.27
4 In 0.3553 0.0000 0.1618  3 Hg 3.17-3.37, 7 In 3.29-3.39
5 In 0.6447 0.0000 0.8382  3 Hg 3.17-3.37, 7 In 3.29-3.39
6 In 0.7436 0.5000 0.4662  4 In 3.11-3.39, 2 Hg 3.11, 1 Pb 3.27
7 In 0.8584 0.5000 0.1600  3 Hg 3.21-3.28, 8 In 3.34-3.39, 1 Pb 3.56
8 Hg 0.2781 0.0000 0.6890  5 In 3.11-3.21, 4 Pb 3.37-3.42, 2 Hg 3.39
9 Hg 0.5000 0.5000 0.0000  10 In 3.28-3.37, 2 Hg 3.39
10 Hg 0.7219 0.0000 0.3110  5 In 3.11-3.21, 4 Pb 3.37-3.42, 2 Hg 3.39
11 Pb 0.2238 0.5000 0.3394  6 In 3.27-3.64, 4 Hg 3.37-3.42, 2 Pb 3.39
12 Pb 0.7762 0.5000 0.6606  6 In 3.27-3.64, 4 Hg 3.37-3.42, 2 Pb 3.39

Computed properties:
- symmetry = No. 10
- N(E_F) (states/eV/f.u.) = 4.53
- energy of formation (eV per atom) = 0.028
- calculated volume (Å³/f.u.) = 330.86

***

[2]
Density functional theory data (PBE-GGA) for a geometry-optimized MgBiW2 structure.

Unit cell a=10.6006 b=10.6006 c=10.6006 alpha=158.19 beta=158.19 gamma=31.04
Last column: nearest neighbours and their distance in Å.
Positions (direct):
1 Mg 0.0000 0.0000 0.0000  4 Bi 2.84, 4 W 2.86
2 Mg 0.7500 0.2500 0.5000  4 Bi 2.84, 4 W 2.86
3 Bi 0.2500 0.7500 0.5000  4 Mg 2.84, 4 W 2.99
4 Bi 0.5000 0.5000 0.0000  4 Mg 2.84, 4 W 2.99
5 W 0.0807 0.6250 0.9557  2 W 2.60, 2 Mg 2.86
6 W 0.3750 0.3307 0.4557  2 W 2.60, 2 Mg 2.86
7 W 0.6693 0.1250 0.0443  2 W 2.60, 2 Mg 2.86
8 W 0.8750 0.9193 0.5443  2 W 2.60, 2 Mg 2.86

Computed properties:
- symmetry = No. 122
- N(E_F) (states/eV/f.u.) = 1.62
- energy of formation (eV per atom) = 0.931
- calculated volume (Å³/f.u.) = 82.18

***

[3]
Density functional theory data (PBE-GGA) for a geometry-optimized HoTm3Pd3 structure.

Unit cell a=5.9764 b=5.9764 c=5.9764 alpha=109.54 beta=109.54 gamma=109.54
Last column: nearest neighbours and their distance in Å.
Positions (direct):
1 Ho 0.0000 0.0000 0.0000  6 Pd 2.99
2 Tm 0.0000 0.5000 0.5000  6 Pd 2.98-2.99
3 Tm 0.5000 0.0000 0.5000  6 Pd 2.98-2.99
4 Tm 0.5000 0.5000 0.0000  6 Pd 2.98-2.99
5 Pd 0.0000 0.0000 0.5000  6 Tm 2.98-2.99, 2 Ho 2.99
6 Pd 0.0000 0.5000 0.0000  6 Tm 2.98-2.99, 2 Ho 2.99
7 Pd 0.5000 0.0000 0.0000  6 Tm 2.98-2.99, 2 Ho 2.99

Computed properties:
- symmetry = No. 166
- N(E_F) (states/eV/f.u.) = 4.92
- energy of formation (eV per atom) = -0.740
- calculated volume (Å³/f.u.) = 163.91

***

[4]
Density functional theory data (PBE-GGA) for a geometry-optimized NpTlGaCl6 structure.

Unit cell a=6.9815 b=6.9815 c=13.1534 alpha=90.00 beta=90.00 gamma=90.00
Last column: nearest neighbours and their distance in Å.
Positions (direct):
1 Np 0.0000 0.0000 0.0000  6 Cl 2.60-2.65
2 Np 0.5000 0.5000 0.5000  6 Cl 2.60-2.65
3 Tl 0.0000 0.0000 0.3371  6 Cl 3.19-3.23
4 Tl 0.5000 0.5000 0.8371  6 Cl 3.19-3.23
5 Ga 0.0000 0.0000 0.6738  4 Cl 2.86-3.10
6 Ga 0.5000 0.5000 0.1738  4 Cl 2.86-3.10
7 Cl 0.1748 0.1748 0.8474  1 Np 2.65, 1 Ga 2.86
8 Cl 0.1891 0.1891 0.1401  1 Np 2.62
9 Cl 0.2363 0.2363 0.5064  1 Np 2.60
10 Cl 0.2637 0.7363 0.0064  1 Np 2.60
11 Cl 0.3109 0.6891 0.6401  1 Np 2.62
12 Cl 0.3252 0.6748 0.3474  1 Np 2.65, 1 Ga 2.86
13 Cl 0.6748 0.3252 0.3474  1 Np 2.65, 1 Ga 2.86
14 Cl 0.6891 0.3109 0.6401  1 Np 2.62
15 Cl 0.7363 0.2637 0.0064  1 Np 2.60
16 Cl 0.7637 0.7637 0.5064  1 Np 2.60
17 Cl 0.8109 0.8109 0.1401  1 Np 2.62
18 Cl 0.8252 0.8252 0.8474  1 Np 2.65, 1 Ga 2.86

Computed properties:
- symmetry = No. 102
- DFT total energy (eV/atom) = -4.592
- N(E_F) (states/eV/f.u.) = 2.71
- calculated volume (Å³/f.u.) = 320.56